# 1
Entry from Alexandria: an optimized crystal structure of PrNb2CrN4 (PBE-GGA).

Cell: 3.241 5.734 10.860 Å, 90.00 90.00 106.42°
Last column: magnetic moment on the atom in μB.
Fractional coordinates of all 16 atoms:
Pr1 0.100 0.200 0.750  0.03
Pr2 0.900 0.800 0.250  0.03
Nb1 0.371 0.743 0.544  -0.05
Nb2 0.629 0.257 0.044  -0.05
Nb3 0.629 0.257 0.456  -0.05
Nb4 0.371 0.743 0.956  -0.05
Cr1 0.838 0.676 0.750  0.54
Cr2 0.162 0.324 0.250  0.54
N1 0.268 0.537 0.115  0.01
N2 0.732 0.463 0.615  0.01
N3 0.732 0.463 0.885  0.01
N4 0.268 0.537 0.385  0.01
N5 0.000 0.000 0.500  0.01
N6 0.000 0.000 0.000  0.01
N7 0.430 0.861 0.750  -0.01
N8 0.570 0.139 0.250  -0.01

Computed properties:
- raw formation energy (meV per atom) = -935
- space group = Cmcm, No. 63
- Fermi-level density of states (states/eV per atom) = 0.488


# 2
Entry from Alexandria: an optimized crystal structure of BaGd2Rh (PBE-GGA).

Cell: 3.596 3.596 9.841 Å, 90.00 90.00 90.00°
Last column: magnetic moment on the atom in μB.
Fractional coordinates of all 4 atoms:
Gd1 0.000 0.000 0.838  -7.01
Gd2 0.000 0.000 0.162  -7.01
Rh1 0.500 0.500 0.000  0.07
Ba1 0.500 0.500 0.500  0.00

Computed properties:
- space group = P4/mmm, No. 123
- formation energy (eV/atom) = -0.30
- Fermi-level density of states (states/eV per atom) = 0.919


# 3
Entry from Alexandria: an optimized crystal structure of Pr2Sm5Tm (PBE-GGA).

Cell: 8.120 17.421 13.099 Å, 38.64 71.89 81.86°
Fractional coordinates of all 32 atoms:
Pr1 0.359 0.078 0.731
Pr2 0.705 0.109 0.826
Pr3 0.795 0.391 0.674
Pr4 0.859 0.578 0.231
Pr5 0.141 0.422 0.769
Pr6 0.205 0.609 0.326
Pr7 0.295 0.891 0.174
Pr8 0.641 0.922 0.269
Sm1 0.048 0.141 0.922
Sm2 0.327 0.985 0.455
Sm3 0.016 0.046 0.637
Sm4 0.734 0.204 0.112
Sm5 0.765 0.296 0.388
Sm6 0.389 0.172 0.019
Sm7 0.452 0.359 0.578
Sm8 0.111 0.328 0.481
Sm9 0.173 0.515 0.045
Sm10 0.484 0.454 0.863
Sm11 0.516 0.546 0.137
Sm12 0.827 0.485 0.955
Sm13 0.889 0.672 0.519
Sm14 0.548 0.641 0.422
Sm15 0.611 0.828 0.981
Sm16 0.235 0.704 0.612
Sm17 0.266 0.796 0.888
Sm18 0.984 0.954 0.363
Sm19 0.673 0.015 0.545
Sm20 0.952 0.859 0.078
Tm1 0.080 0.235 0.204
Tm2 0.420 0.265 0.296
Tm3 0.580 0.735 0.704
Tm4 0.920 0.765 0.796

Computed properties:
- space group = P-1, No. 2
- formation energy (eV/atom) = 0.02
- Fermi-level density of states (states/eV per atom) = 1.509